Here is Zr2Al2Tc after structural relaxation from Alexandria via LeMat-Bulk. Energies are from PBE-GGA.

Unit cell a=6.921 b=6.921 c=3.824 alpha=90.00 beta=90.00 gamma=90.00
Space group P4/mbm (No. 127)
Symmetry-distinct sites (fractional):
Zr 0.174 0.326 0.000 (multiplicity 4)
Al 0.131 0.631 0.500 (multiplicity 4)
Tc 0.000 0.000 0.500 (multiplicity 2)

Values from the calculation:
Final energy ... -0.5415 Ry per atom
Relative energy among the computed polymorphs ... 0.0000 eV/atom
Crystal system ... tetragonal